Record 1
DFT (PBE-GGA) results for AlSnS2 after structural relaxation.

Values from the calculation:
For the uncorrected formation energy, the calculation gives -0.5973 eV/atom. As for the space group: I4/mcm, No. 140.

abc: 7.969 7.969 5.975
angles: 90.00 90.00 90.00
Atoms (fractional coordinates):
Al (0.000, 0.500, 0.250)
Al (0.000, 0.500, 0.750)
Al (0.500, 0.000, 0.250)
Al (0.500, 0.000, 0.750)
Sn (0.000, 0.000, 0.250)
Sn (0.000, 0.000, 0.750)
Sn (0.500, 0.500, 0.250)
Sn (0.500, 0.500, 0.750)
S (0.154, 0.346, 0.000)
S (0.154, 0.654, 0.500)
S (0.346, 0.154, 0.500)
S (0.346, 0.846, 0.000)
S (0.654, 0.154, 0.000)
S (0.654, 0.846, 0.500)
S (0.846, 0.346, 0.500)
S (0.846, 0.654, 0.000)


Record 2
DFT (PBE-GGA) results for AlSnS after structural relaxation.

Values from the calculation:
For the uncorrected formation energy, the calculation gives -0.4790 eV/atom. As for the space group: P2_1/c, No. 14.

abc: 8.615 5.898 5.821
angles: 90.00 91.12 90.00
Atoms (fractional coordinates):
Al (0.143, 0.069, 0.166)
Al (0.143, 0.431, 0.666)
Al (0.857, 0.569, 0.334)
Al (0.857, 0.931, 0.834)
Sn (0.449, 0.523, 0.751)
Sn (0.449, 0.977, 0.251)
Sn (0.551, 0.023, 0.749)
Sn (0.551, 0.477, 0.249)
S (0.108, 0.052, 0.764)
S (0.108, 0.448, 0.264)
S (0.892, 0.552, 0.736)
S (0.892, 0.948, 0.236)


Record 3
DFT (PBE-GGA) results for Al2SnS4 after structural relaxation.

Values from the calculation:
For the uncorrected formation energy, the calculation gives -0.8067 eV/atom. As for the space group: I-42d, No. 122.

abc: 7.525 7.525 7.525
angles: 103.67 103.67 121.84
Atoms (fractional coordinates):
Al (0.375, 0.195, 0.320)
Al (0.805, 0.125, 0.180)
Al (0.875, 0.055, 0.680)
Al (0.945, 0.625, 0.820)
Sn (0.250, 0.750, 0.500)
Sn (0.500, 0.500, 0.000)
S (0.063, 0.807, 0.161)
S (0.099, 0.937, 0.744)
S (0.105, 0.443, 0.756)
S (0.193, 0.355, 0.256)
S (0.557, 0.313, 0.661)
S (0.645, 0.901, 0.839)
S (0.651, 0.895, 0.339)
S (0.687, 0.349, 0.244)


Record 4
DFT (PBE-GGA) results for AlSnS2 after structural relaxation.

Values from the calculation:
For the uncorrected formation energy, the calculation gives -0.5863 eV/atom. As for the space group: C2/m, No. 12.

abc: 16.160 3.716 7.637
angles: 90.00 113.69 90.00
Atoms (fractional coordinates):
Al (0.008, 0.000, 0.175)
Al (0.492, 0.500, 0.825)
Al (0.508, 0.500, 0.175)
Al (0.992, 0.000, 0.825)
Sn (0.212, 0.500, 0.713)
Sn (0.288, 0.000, 0.287)
Sn (0.712, 0.000, 0.713)
Sn (0.788, 0.500, 0.287)
S (0.081, 0.500, 0.344)
S (0.142, 0.000, 0.851)
S (0.358, 0.500, 0.149)
S (0.419, 0.000, 0.656)
S (0.581, 0.000, 0.344)
S (0.642, 0.500, 0.851)
S (0.858, 0.000, 0.149)
S (0.919, 0.500, 0.656)


Record 5
DFT (PBE-GGA) results for AlSnS2 after structural relaxation.

Values from the calculation:
For the uncorrected formation energy, the calculation gives -0.3289 eV/atom. As for the space group: Cmcm, No. 63.

abc: 3.702 20.185 4.767
angles: 90.00 90.00 90.00
Atoms (fractional coordinates):
Al (0.000, 0.062, 0.250)
Al (0.000, 0.938, 0.750)
Al (0.500, 0.438, 0.750)
Al (0.500, 0.562, 0.250)
Sn (0.000, 0.324, 0.250)
Sn (0.000, 0.676, 0.750)
Sn (0.500, 0.176, 0.750)
Sn (0.500, 0.824, 0.250)
S (0.000, 0.057, 0.750)
S (0.000, 0.180, 0.250)
S (0.000, 0.820, 0.750)
S (0.000, 0.943, 0.250)
S (0.500, 0.320, 0.750)
S (0.500, 0.443, 0.250)
S (0.500, 0.557, 0.750)
S (0.500, 0.680, 0.250)


Record 6
DFT (PBE-GGA) results for AlSnS2 after structural relaxation.

Values from the calculation:
For the uncorrected formation energy, the calculation gives -0.1118 eV/atom. As for the space group: R-3m, No. 166.

abc: 4.041 4.041 23.136
angles: 90.00 90.00 120.00
Atoms (fractional coordinates):
Al (0.000, 0.000, 0.000)
Al (0.333, 0.667, 0.667)
Al (0.667, 0.333, 0.333)
Sn (0.000, 0.000, 0.500)
Sn (0.333, 0.667, 0.167)
Sn (0.667, 0.333, 0.833)
S (0.000, 0.000, 0.096)
S (0.000, 0.000, 0.904)
S (0.333, 0.667, 0.571)
S (0.333, 0.667, 0.762)
S (0.667, 0.333, 0.238)
S (0.667, 0.333, 0.429)


Record 7
DFT (PBE-GGA) results for AlSnS2 after structural relaxation.

Values from the calculation:
For the uncorrected formation energy, the calculation gives -0.6942 eV/atom. As for the space group: I4/mcm, No. 140.

abc: 7.926 7.926 6.204
angles: 90.00 90.00 90.00
Atoms (fractional coordinates):
Al (0.000, 0.500, 0.250)
Al (0.000, 0.500, 0.750)
Al (0.500, 0.000, 0.250)
Al (0.500, 0.000, 0.750)
Sn (0.000, 0.000, 0.000)
Sn (0.000, 0.000, 0.500)
Sn (0.500, 0.500, 0.000)
Sn (0.500, 0.500, 0.500)
S (0.151, 0.349, 0.000)
S (0.151, 0.651, 0.500)
S (0.349, 0.151, 0.500)
S (0.349, 0.849, 0.000)
S (0.651, 0.151, 0.000)
S (0.651, 0.849, 0.500)
S (0.849, 0.349, 0.500)
S (0.849, 0.651, 0.000)


Record 8
DFT (PBE-GGA) results for Al2SnS6 after structural relaxation.

Values from the calculation:
For the uncorrected formation energy, the calculation gives -0.5732 eV/atom. As for the space group: P2_1/c, No. 14.

abc: 6.521 6.088 11.945
angles: 90.00 118.34 90.00
Atoms (fractional coordinates):
Al (0.166, 0.041, 0.248)
Al (0.166, 0.459, 0.748)
Al (0.834, 0.541, 0.252)
Al (0.834, 0.959, 0.752)
Sn (0.500, 0.000, 0.000)
Sn (0.500, 0.500, 0.500)
S (0.122, 0.125, 0.045)
S (0.122, 0.375, 0.545)
S (0.175, 0.665, 0.270)
S (0.175, 0.835, 0.770)
S (0.490, 0.672, 0.114)
S (0.490, 0.828, 0.614)
S (0.510, 0.172, 0.386)
S (0.510, 0.328, 0.886)
S (0.825, 0.165, 0.230)
S (0.825, 0.335, 0.730)
S (0.878, 0.625, 0.455)
S (0.878, 0.875, 0.955)


Number 1: theoretical density 3.67 g/cm3, final energy -4.5974 eV/atom. Number 2: theoretical density 3.99 g/cm3, final energy -4.4366 eV/atom. Number 3: theoretical density 3.16 g/cm3, final energy -4.8064 eV/atom. Number 4: theoretical density 3.32 g/cm3, final energy -4.5864 eV/atom. Number 5: theoretical density 3.91 g/cm3, final energy -4.3290 eV/atom. Number 6: theoretical density 3.19 g/cm3, final energy -4.1118 eV/atom. Number 7: theoretical density 3.58 g/cm3, final energy -4.6942 eV/atom. Number 8: theoretical density 2.90 g/cm3, final energy -4.6013 eV/atom.